# 1
Compound: AlPt2Au
Source: Alexandria
Functional: PBE
Structure: optimized geometry

```
data_AlPt2Au
_chemical_formula_sum 'Al4 Pt8 Au4'
_cell_length_a 7.116
_cell_length_b 7.116
_cell_length_c 5.379
_cell_angle_alpha 90.00
_cell_angle_beta 90.00
_cell_angle_gamma 90.00
_symmetry_space_group_name_H-M 'I -4 2 d'
_symmetry_Int_Tables_number 122
_symmetry_space_group_name_Hall 'I -4 2bw'
loop_
_atom_site_label
_atom_site_type_symbol
_atom_site_fract_x
_atom_site_fract_y
_atom_site_fract_z
Al1 Al 0.000 0.000 0.000
Pt1 Pt 0.217 0.750 0.125
Au1 Au 0.000 0.000 0.500
```



# 2
Compound: Al3Pt12Au5
Source: Alexandria
Functional: PBE
Structure: optimized geometry

```
data_Al3Pt12Au5
_chemical_formula_sum 'Al24 Pt96 Au40'
_cell_length_a 15.263
_cell_length_b 15.263
_cell_length_c 15.263
_cell_angle_alpha 90.00
_cell_angle_beta 90.00
_cell_angle_gamma 90.00
_symmetry_space_group_name_H-M 'I a -3 d'
_symmetry_Int_Tables_number 230
_symmetry_space_group_name_Hall '-I 4bd 2c 3'
loop_
_atom_site_label
_atom_site_type_symbol
_atom_site_fract_x
_atom_site_fract_y
_atom_site_fract_z
Al1 Al 0.000 0.250 0.125
Pt1 Pt 0.009 0.060 0.161
Au1 Au 0.000 0.000 0.000
Au2 Au 0.000 0.250 0.375
```



# 3
Compound: Al6PtAu2
Source: Alexandria
Functional: PBE
Structure: optimized geometry

```
data_Al6PtAu2
_chemical_formula_sum 'Al12 Pt2 Au4'
_cell_length_a 13.392
_cell_length_b 6.052
_cell_length_c 4.257
_cell_angle_alpha 90.00
_cell_angle_beta 108.10
_cell_angle_gamma 90.00
_symmetry_space_group_name_H-M 'C 1 2/m 1'
_symmetry_Int_Tables_number 12
_symmetry_space_group_name_Hall '-C 2y'
loop_
_atom_site_label
_atom_site_type_symbol
_atom_site_fract_x
_atom_site_fract_y
_atom_site_fract_z
Al1 Al 0.000 0.239 0.000
Al2 Al 0.163 0.245 0.663
Pt1 Pt 0.000 0.000 0.500
Au1 Au 0.166 0.500 0.166
```



Number 1: total DFT energy (no corrections) -82.0 eV/cell, energy relative to the elements -351 meV/atom. Number 2: total DFT energy (no corrections) -767.4 eV/cell, energy relative to the elements 209 meV/atom. Number 3: total DFT energy (no corrections) -80.7 eV/cell, energy relative to the elements -591 meV/atom.